1.
Material: SrLi2Cr
Method: DFT, GGA-PBE
State: relaxed

Lattice parameters (Å, degrees): 9.558 4.301 5.705 90.00 111.05 90.00
Space group C2/m (No. 12)
Symmetry-distinct sites (fractional):
1 Sr 0.000 0.000 0.000 (multiplicity 2)
2 Li 0.216 0.000 0.639 (multiplicity 4)
3 Cr 0.000 0.500 0.500 (multiplicity 2)

Summary:
* polymorph energy (0 for the lowest one): 0.0 kJ/mol of atoms
* energy of formation: 444.0 meV per atom
* total moment: 1.18 μB/atom
* total DFT energy (no corrections): -3.34 eV per atom
* calculated volume: 218.9 Å³ per cell

---

2.
Material: SrLi2Cr
Method: DFT, GGA-PBE
State: relaxed

Lattice parameters (Å, degrees): 3.6491 3.6491 29.4026 90.00 90.00 120.00
Space group R-3m (No. 166, hexagonal axes)
Symmetry-distinct sites (fractional):
1 Sr 0.0000 0.0000 0.0000 (multiplicity 3)
2 Li 0.0000 0.0000 0.2350 (multiplicity 6)
3 Cr 0.0000 0.0000 0.5000 (multiplicity 3)

Summary:
* polymorph energy (0 for the lowest one): 19.1 kJ/mol of atoms
* energy of formation: 642.3 meV per atom
* total moment: 1.23 μB/atom
* total DFT energy (no corrections): -3.14 eV per atom
* calculated volume: 339.1 Å³ per cell

---

3.
Material: SrLi2Cr
Method: DFT, GGA-PBE
State: relaxed

Lattice parameters (Å, degrees): 4.641 4.641 21.450 90.00 90.00 90.00
Space group I-42d (No. 122)
Symmetry-distinct sites (fractional):
1 Sr 0.000 0.000 0.000 (multiplicity 4)
2 Li 0.157 0.250 0.625 (multiplicity 8)
3 Cr 0.000 0.000 0.500 (multiplicity 4)

Summary:
* polymorph energy (0 for the lowest one): 12.4 kJ/mol of atoms
* energy of formation: 572.6 meV per atom
* total moment: 1.22 μB/atom
* total DFT energy (no corrections): -3.21 eV per atom
* calculated volume: 461.9 Å³ per cell

---

4.
Material: SrLi3Cr
Method: DFT, GGA-PBE
State: relaxed

Lattice parameters (Å, degrees): 4.827 4.827 4.827 90.00 90.00 90.00
Space group Pm-3m (No. 221)
Symmetry-distinct sites (fractional):
1 Sr 0.000 0.000 0.000 (multiplicity 1)
2 Li 0.000 0.000 0.500 (multiplicity 3)
3 Cr 0.500 0.500 0.500 (multiplicity 1)

Summary:
* polymorph energy (0 for the lowest one): 126.8 kJ/mol of atoms
* energy of formation: 1778.8 meV per atom
* total moment: 0.00 μB/atom
* total DFT energy (no corrections): -1.63 eV per atom
* calculated volume: 112.5 Å³ per cell

---

5.
Material: SrLiCr2
Method: DFT, GGA-PBE
State: relaxed

Lattice parameters (Å, degrees): 7.607 4.401 6.307 90.00 113.94 90.00
Space group Cm (No. 8)
Symmetry-distinct sites (fractional):
1 Sr 0.000 0.000 0.000 (multiplicity 2)
2 Li 0.203 0.000 0.606 (multiplicity 2)
3 Cr 0.300 0.500 0.399 (multiplicity 2)
4 Cr 0.475 0.000 0.425 (multiplicity 2)

Summary:
* polymorph energy (0 for the lowest one): 0.0 kJ/mol of atoms
* energy of formation: 513.5 meV per atom
* total moment: 0.08 μB/atom
* total DFT energy (no corrections): -5.20 eV per atom
* calculated volume: 193.0 Å³ per cell

---

6.
Material: SrLiCr2
Method: DFT, GGA-PBE
State: relaxed

Lattice parameters (Å, degrees): 3.705 3.705 5.114 90.00 90.00 90.00
Space group P4/mmm (No. 123)
Symmetry-distinct sites (fractional):
1 Sr 0.000 0.000 0.000 (multiplicity 1)
2 Li 0.500 0.500 0.000 (multiplicity 1)
3 Cr 0.000 0.500 0.500 (multiplicity 2)

Summary:
* polymorph energy (0 for the lowest one): 66.8 kJ/mol of atoms
* energy of formation: 1206.2 meV per atom
* total moment: 0.29 μB/atom
* total DFT energy (no corrections): -4.50 eV per atom
* calculated volume: 70.2 Å³ per cell

---

What did the second record say?
Material: SrLi2Cr
Method: DFT, GGA-PBE
State: relaxed

Lattice parameters (Å, degrees): 3.6491 3.6491 29.4026 90.00 90.00 120.00
Space group R-3m (No. 166, hexagonal axes)
Symmetry-distinct sites (fractional):
1 Sr 0.0000 0.0000 0.0000 (multiplicity 3)
2 Li 0.0000 0.0000 0.2350 (multiplicity 6)
3 Cr 0.0000 0.0000 0.5000 (multiplicity 3)

Summary:
* polymorph energy (0 for the lowest one): 19.1 kJ/mol of atoms
* energy of formation: 642.3 meV per atom
* total moment: 1.23 μB/atom
* total DFT energy (no corrections): -3.14 eV per atom
* calculated volume: 339.1 Å³ per cell